Record 1
Compound: Li2LaTe
Source: the Alexandria database
Functional: GGA-PBE
Structure: relaxed

Cell lengths 4.180, 4.179, 6.347 Å; angles 89.73, 90.00, 90.00 degrees
Sites, in units of the cell vectors:
Te1 0.000 0.374 0.474
La1 0.500 0.873 0.678
Li1 0.500 0.376 0.174
Li2 0.000 0.877 0.174

Output
Total magnetic moment ... 0.0 μB per cell
E_form (uncorrected) ... -0.66 eV/atom
Calculated total energy ... -3.632 eV/atom

***

Record 2
Compound: Li4LaTe
Source: the Alexandria database
Functional: GGA-PBE
Structure: relaxed

Cell lengths 5.764, 5.764, 5.764 Å; angles 60.00, 60.00, 60.00 degrees
Sites, in units of the cell vectors:
La1 0.000 0.000 0.000
Te1 0.750 0.750 0.750
Li1 0.377 0.377 0.869
Li2 0.377 0.869 0.377
Li3 0.377 0.377 0.377
Li4 0.869 0.377 0.377

Output
Total magnetic moment ... 0.4 μB per cell
E_form (uncorrected) ... -0.19 eV/atom
Calculated total energy ... -2.806 eV/atom

***

Record 3
Compound: LiLa3Te
Source: the Alexandria database
Functional: GGA-PBE
Structure: relaxed

Cell lengths 6.053, 6.053, 6.053 Å; angles 90.00, 90.00, 90.00 degrees
Sites, in units of the cell vectors:
La1 0.000 0.500 0.000
La2 0.500 0.000 0.000
La3 0.000 0.000 0.500
Li1 0.500 0.500 0.500
Te1 0.000 0.000 0.000

Output
Total magnetic moment ... 0.0 μB per cell
Relative energy among the computed polymorphs ... 0.000 kcal/mol of atoms
E_form (uncorrected) ... -0.13 eV/atom
Calculated total energy ... -4.102 eV/atom

***

Record 4
Compound: Li2LaTe
Source: the Alexandria database
Functional: GGA-PBE
Structure: relaxed

Cell lengths 3.993, 3.993, 6.487 Å; angles 90.00, 90.00, 90.00 degrees
Sites, in units of the cell vectors:
Li1 0.000 0.000 0.447
Li2 0.000 0.000 0.053
La1 0.500 0.500 0.750
Te1 0.500 0.500 0.250

Output
Total magnetic moment ... 0.3 μB per cell
E_form (uncorrected) ... -0.51 eV/atom
Calculated total energy ... -3.488 eV/atom

***

Record 5
Compound: LiLa2Te
Source: the Alexandria database
Functional: GGA-PBE
Structure: relaxed

Cell lengths 8.693, 8.693, 6.954 Å; angles 51.31, 51.31, 90.00 degrees
Sites, in units of the cell vectors:
Li1 0.500 0.500 0.000
Li2 0.250 0.750 0.500
Te1 0.750 0.250 0.500
Te2 0.000 0.000 0.000
La1 0.124 0.625 0.250
La2 0.626 0.125 0.250
La3 0.375 0.374 0.750
La4 0.875 0.876 0.750

Output
Total magnetic moment ... 0.0 μB per cell
E_form (uncorrected) ... -0.43 eV/atom
Calculated total energy ... -4.153 eV/atom

***

Record 6
Compound: LiLa2Te
Source: the Alexandria database
Functional: GGA-PBE
Structure: relaxed

Cell lengths 8.457, 8.457, 8.457 Å; angles 30.48, 30.48, 30.48 degrees
Sites, in units of the cell vectors:
Li1 0.250 0.250 0.250
La1 0.005 0.005 0.005
La2 0.495 0.495 0.495
Te1 0.750 0.750 0.750

Output
Total magnetic moment ... 0.0 μB per cell
E_form (uncorrected) ... -0.57 eV/atom
Calculated total energy ... -4.302 eV/atom

***

Record 7
Compound: LiLa2Te
Source: the Alexandria database
Functional: GGA-PBE
Structure: relaxed

Cell lengths 5.430, 5.430, 5.430 Å; angles 60.00, 60.00, 60.00 degrees
Sites, in units of the cell vectors:
Li1 0.500 0.500 0.500
Te1 0.750 0.750 0.750
La1 0.000 0.000 0.000
La2 0.250 0.250 0.250

Output
Total magnetic moment ... 0.0 μB per cell
E_form (uncorrected) ... -0.21 eV/atom
Calculated total energy ... -3.936 eV/atom

***

Record 8
Compound: Li2LaTe
Source: the Alexandria database
Functional: GGA-PBE
Structure: relaxed

Cell lengths 3.960, 3.960, 6.994 Å; angles 90.00, 90.00, 90.00 degrees
Sites, in units of the cell vectors:
Li1 0.500 0.500 0.237
Li2 0.000 0.000 0.069
La1 0.500 0.500 0.716
Te1 0.000 0.000 0.477

Output
Total magnetic moment ... 0.0 μB per cell
E_form (uncorrected) ... -0.58 eV/atom
Calculated total energy ... -3.558 eV/atom

***

Record 9
Compound: LiLa2Te
Source: the Alexandria database
Functional: GGA-PBE
Structure: relaxed

Cell lengths 5.862, 5.862, 5.862 Å; angles 129.68, 129.65, 73.94 degrees
Sites, in units of the cell vectors:
La1 0.000 0.000 0.000
La2 0.500 0.500 0.000
Li1 0.750 0.250 0.500
Te1 0.250 0.750 0.500

Output
Total magnetic moment ... 0.0 μB per cell
E_form (uncorrected) ... -0.59 eV/atom
Calculated total energy ... -4.317 eV/atom

***

Record 10
Compound: Li2LaTe2
Source: the Alexandria database
Functional: GGA-PBE
Structure: relaxed

Cell lengths 4.130, 4.130, 7.859 Å; angles 74.77, 74.77, 90.00 degrees
Sites, in units of the cell vectors:
La1 0.000 0.000 0.000
Li1 0.750 0.250 0.500
Li2 0.250 0.750 0.500
Te1 0.376 0.376 0.247
Te2 0.624 0.624 0.753

Output
Total magnetic moment ... 0.0 μB per cell
Relative energy among the computed polymorphs ... 0.000 kcal/mol of atoms
E_form (uncorrected) ... -1.16 eV/atom
Calculated total energy ... -4.172 eV/atom

***

Record 11
Compound: LiLa2Te
Source: the Alexandria database
Functional: GGA-PBE
Structure: relaxed

Cell lengths 5.355, 5.352, 4.064 Å; angles 90.00, 90.00, 90.00 degrees
Sites, in units of the cell vectors:
La1 0.000 0.000 0.000
La2 0.500 0.500 0.000
Li1 0.500 0.000 0.500
Te1 0.000 0.500 0.500

Output
Total magnetic moment ... 0.0 μB per cell
E_form (uncorrected) ... -0.66 eV/atom
Calculated total energy ... -4.392 eV/atom

***

Record 12
Compound: Li2LaTe
Source: the Alexandria database
Functional: GGA-PBE
Structure: relaxed

Cell lengths 6.329, 6.329, 6.329 Å; angles 141.57, 139.38, 57.15 degrees
Sites, in units of the cell vectors:
Li1 0.324 0.824 0.500
Li2 0.982 0.982 0.000
Te1 0.474 0.474 0.000
La1 0.719 0.219 0.500

Output
Total magnetic moment ... 0.7 μB per cell
E_form (uncorrected) ... -0.53 eV/atom
Calculated total energy ... -3.502 eV/atom